Record 1
A geometry-optimized ScTeIr structure, computed with PBEsol.

```
ScTeIr
1.0
3.384 0.000 0.000
0.000 4.421 0.000
0.000 -2.211 3.829
Te Ir Sc
1 1 1
direct
0.201 0.333 0.667
0.121 0.000 0.000
0.678 0.667 0.333
```

Calculated values
Calculated density = 10.6 g cm⁻³
Calculated volume = 57.3 Å³/cell
VASP energy = -7.2743 eV per atom
Space-group type = P3m1 (156)
DOS at the Fermi energy = 1.38 states/eV/f.u.

---

Record 2
A geometry-optimized ZnOsPb2 structure, computed with PBEsol.

```
ZnOsPb2
1.0
3.333 0.000 0.000
-1.667 4.652 0.024
0.000 -0.784 5.173
Zn Os Pb
1 1 2
direct
0.000 0.000 0.500
0.500 0.000 0.000
0.764 0.528 0.761
0.236 0.472 0.239
```

Calculated values
Calculated density = 13.9 g cm⁻³
Calculated volume = 80.3 Å³/cell
Formation energy from the elements = 3.1 eV/f.u.
VASP energy = -4.6669 eV per atom
Space-group type = C2/m (12)
DOS at the Fermi energy = 2.25 states/eV/f.u.

---

Record 3
A geometry-optimized KAlRu2 structure, computed with PBEsol.

```
KAlRu2
1.0
-2.201 -1.745 0.096
0.243 -2.625 -0.976
2.056 -4.398 8.297
K Ru Al
1 2 1
direct
0.000 0.000 0.000
0.765 0.765 0.706
0.235 0.235 0.294
0.500 0.500 0.500
```

Calculated values
Calculated density = 6.9 g cm⁻³
Calculated volume = 64.8 Å³/cell
Formation energy from the elements = 1.8 eV/f.u.
VASP energy = -5.9414 eV per atom
Space-group type = R-3m (166)
DOS at the Fermi energy = 2.82 states/eV/f.u.

---

Record 4
A geometry-optimized YCu2Ni structure, computed with PBEsol.

```
YCu2Ni
1.0
3.791 0.000 0.000
0.000 3.783 -0.121
-1.895 -1.762 4.139
Ni Y Cu
1 1 2
direct
0.000 0.500 0.000
0.500 0.000 0.000
0.750 0.750 0.500
0.250 0.250 0.500
```

Calculated values
Calculated density = 7.8 g cm⁻³
Calculated volume = 58.5 Å³/cell
Formation energy from the elements = -0.6 eV/f.u.
VASP energy = -5.5507 eV per atom
Space-group type = I4/mmm (139)
DOS at the Fermi energy = 1.70 states/eV/f.u.

---

What did the second record say?
A geometry-optimized ZnOsPb2 structure, computed with PBEsol.

```
ZnOsPb2
1.0
3.333 0.000 0.000
-1.667 4.652 0.024
0.000 -0.784 5.173
Zn Os Pb
1 1 2
direct
0.000 0.000 0.500
0.500 0.000 0.000
0.764 0.528 0.761
0.236 0.472 0.239
```

Calculated values
Calculated density = 13.9 g cm⁻³
Calculated volume = 80.3 Å³/cell
Formation energy from the elements = 3.1 eV/f.u.
VASP energy = -4.6669 eV per atom
Space-group type = C2/m (12)
DOS at the Fermi energy = 2.25 states/eV/f.u.